Entry 1
Compound: CoHg2Au
Source: Alexandria via LeMat-Bulk
Functional: SCAN
Structure: PBEsol geometry

a = 2.958 Å, b = 4.380 Å, c = 5.489 Å
α = 90.00°, β = 103.12°, γ = 90.00°
Positions (direct):
1 Co 0.000 0.000 0.000
2 Hg 0.292 0.000 0.511
3 Hg 0.578 0.500 0.172
4 Au 0.883 0.500 0.716

Computed properties:
- Crystal system: monoclinic
- V: 17.3 A^3/atom


Entry 2
Compound: CoHg2Au
Source: Alexandria via LeMat-Bulk
Functional: SCAN
Structure: PBEsol geometry

a = 2.959 Å, b = 2.959 Å, c = 7.680 Å
α = 90.00°, β = 90.00°, γ = 90.00°
Positions (direct):
1 Co 0.000 0.000 0.000
2 Hg 0.500 0.500 0.224
3 Hg 0.500 0.500 0.776
4 Au 0.000 0.000 0.500

Computed properties:
- Crystal system: tetragonal
- V: 16.8 A^3/atom


Pick the most stable structure from those above. Pick: entry 1